BaNaErTe3 (PBE, optimized geometry); magnetization = 0.00 μB/atom; excess energy over the best structure of this formula in the dataset = 5 meV/atom
1.0
2.328 -7.596 0.000
2.328 7.596 0.000
0.000 0.000 11.537
Ba Na Er Te
2 2 2 6
Direct
0.248 0.752 0.750
0.752 0.248 0.250
0.472 0.528 0.250
0.528 0.472 0.750
0.000 0.000 0.000
0.000 0.000 0.500
0.082 0.918 0.250
0.363 0.637 0.043
0.363 0.637 0.457
0.637 0.363 0.543
0.637 0.363 0.957
0.918 0.082 0.750